(1)
! K17Na11Zn (PBE, relaxed); values from VASP
! magnetization: 0.00 μB/atom
! energy relative to the elements: 3 kJ/mol of atoms
! SG: Cm (8)
&SYSTEM
  ibrav = 0, nat = 29, ntyp = 3
/
ATOMIC_SPECIES
K 39.10 K.upf
Na 22.99 Na.upf
Zn 65.41 Zn.upf
CELL_PARAMETERS angstrom
7.408 -10.023 0.000
7.408 10.023 0.000
-6.221 0.000 10.768
ATOMIC_POSITIONS angstrom
K 0.000 0.000 0.000
K 2.975 3.941 7.534
K 6.117 6.538 6.158
K 0.377 2.301 10.734
K 3.785 6.485 10.720
K 1.488 0.000 7.042
K 5.098 2.446 3.996
K 0.377 -2.301 10.734
K 9.432 4.167 3.582
K 5.098 -2.446 3.996
K 5.886 0.000 7.500
K 2.975 -3.941 7.534
K 8.463 0.000 3.283
K 6.117 -6.538 6.158
K 9.432 -4.167 3.582
K 12.466 0.000 3.854
K 3.785 -6.485 10.720
Na 2.192 8.157 6.949
Na -0.333 6.288 8.942
Na 1.418 1.754 3.349
Na 5.990 6.172 1.870
Na -2.502 0.000 8.763
Na 1.418 -1.754 3.349
Na 10.731 1.848 0.181
Na -0.333 -6.288 8.942
Na 5.990 -6.172 1.870
Na 10.731 -1.848 0.181
Na 2.192 -8.157 6.949
Zn 3.660 0.000 1.411

(2)
! KNa2Zn (PBE, relaxed); values from VASP
! magnetization: 0.00 μB/atom
! energy relative to the elements: 10 kJ/mol of atoms
! SG: R3m (160)
&SYSTEM
  ibrav = 0, nat = 4, ntyp = 3
/
ATOMIC_SPECIES
K 39.10 K.upf
Na 22.99 Na.upf
Zn 65.41 Zn.upf
CELL_PARAMETERS angstrom
2.704 1.561 6.067
-2.704 1.561 6.067
0.000 -3.123 6.067
ATOMIC_POSITIONS angstrom
K 0.000 0.000 0.000
Na 0.000 0.000 9.683
Na 0.000 0.000 14.406
Zn 0.000 0.000 3.695

(3)
! KNaZn3 (PBE, relaxed); values from VASP
! magnetization: 0.00 μB/atom
! energy relative to the elements: 39 kJ/mol of atoms
! SG: Pm-3m (221)
&SYSTEM
  ibrav = 0, nat = 5, ntyp = 3
/
ATOMIC_SPECIES
K 39.10 K.upf
Na 22.99 Na.upf
Zn 65.41 Zn.upf
CELL_PARAMETERS angstrom
5.559 0.000 0.000
0.000 5.559 0.000
0.000 0.000 5.559
ATOMIC_POSITIONS angstrom
K 0.000 0.000 0.000
Na 2.779 2.779 2.779
Zn 0.000 2.779 2.779
Zn 2.779 0.000 2.779
Zn 2.779 2.779 0.000

(4)
! KNaZn3 (PBE, relaxed); values from VASP
! magnetization: 0.00 μB/atom
! energy relative to the elements: 62 kJ/mol of atoms
! SG: Pm-3m (221)
&SYSTEM
  ibrav = 0, nat = 5, ntyp = 3
/
ATOMIC_SPECIES
K 39.10 K.upf
Na 22.99 Na.upf
Zn 65.41 Zn.upf
CELL_PARAMETERS angstrom
6.091 0.000 0.000
0.000 6.091 0.000
0.000 0.000 6.091
ATOMIC_POSITIONS angstrom
K 0.000 0.000 0.000
Na 3.046 3.046 3.046
Zn 0.000 0.000 3.046
Zn 0.000 3.046 0.000
Zn 3.046 0.000 0.000

(5)
! KNaZn (PBE, relaxed); values from VASP
! magnetization: 0.00 μB/atom
! energy relative to the elements: 15 kJ/mol of atoms
! SG: P3m1 (156)
&SYSTEM
  ibrav = 0, nat = 3, ntyp = 3
/
ATOMIC_SPECIES
K 39.10 K.upf
Na 22.99 Na.upf
Zn 65.41 Zn.upf
CELL_PARAMETERS angstrom
5.412 0.000 0.000
-2.706 4.687 0.000
0.000 0.000 4.488
ATOMIC_POSITIONS angstrom
K 0.000 0.000 0.000
Na 0.000 3.124 2.239
Zn 2.706 1.562 2.250

(6)
! KNaZn2 (PBE, relaxed); values from VASP
! magnetization: 0.00 μB/atom
! energy relative to the elements: 18 kJ/mol of atoms
! SG: I4_1/amd (141)
&SYSTEM
  ibrav = 0, nat = 8, ntyp = 3
/
ATOMIC_SPECIES
K 39.10 K.upf
Na 22.99 Na.upf
Zn 65.41 Zn.upf
CELL_PARAMETERS angstrom
-2.500 2.500 10.843
2.500 -2.500 10.843
2.500 2.500 -10.843
ATOMIC_POSITIONS angstrom
K 2.500 1.250 2.711
K 0.000 1.250 8.132
Na 2.500 -1.250 8.132
Na 0.000 3.750 2.711
Zn 0.000 0.000 0.000
Zn 1.250 1.250 -5.422
Zn 1.250 -1.250 5.422
Zn 0.000 2.500 0.000

(7)
! K4Na2Zn (PBE, relaxed); values from VASP
! magnetization: 0.00 μB/atom
! energy relative to the elements: 14 kJ/mol of atoms
! SG: I4/mmm (139)
&SYSTEM
  ibrav = 0, nat = 7, ntyp = 3
/
ATOMIC_SPECIES
K 39.10 K.upf
Na 22.99 Na.upf
Zn 65.41 Zn.upf
CELL_PARAMETERS angstrom
-3.262 3.262 9.831
3.262 -3.262 9.831
3.262 3.262 -9.831
ATOMIC_POSITIONS angstrom
K 3.262 0.000 0.000
K 0.000 0.000 3.541
K 0.000 3.262 0.000
K 0.000 0.000 16.122
Na 0.000 0.000 7.458
Na 0.000 0.000 12.204
Zn 0.000 0.000 0.000

(8)
! K2Na2Zr (PBE, relaxed); values from VASP
! magnetization: 0.53 μB/atom
! energy relative to the elements: 72 kJ/mol of atoms
! SG: I4/mmm (139)
&SYSTEM
  ibrav = 0, nat = 5, ntyp = 3
/
ATOMIC_SPECIES
K 39.10 K.upf
Na 22.99 Na.upf
Zr 91.22 Zr.upf
CELL_PARAMETERS angstrom
-2.048 2.048 12.793
2.048 -2.048 12.793
2.048 2.048 -12.793
ATOMIC_POSITIONS angstrom
K 0.000 0.000 2.716
K 0.000 0.000 22.870
Na 2.048 0.000 6.397
Na 0.000 2.048 6.397
Zr 0.000 0.000 12.793

(9)
! K3NaZr (PBE, relaxed); values from VASP
! magnetization: 0.83 μB/atom
! energy relative to the elements: 94 kJ/mol of atoms
! SG: Pm-3m (221)
&SYSTEM
  ibrav = 0, nat = 5, ntyp = 3
/
ATOMIC_SPECIES
K 39.10 K.upf
Na 22.99 Na.upf
Zr 91.22 Zr.upf
CELL_PARAMETERS angstrom
6.887 0.000 0.000
0.000 6.887 0.000
0.000 0.000 6.887
ATOMIC_POSITIONS angstrom
K 0.000 0.000 3.443
K 0.000 3.443 0.000
K 3.443 0.000 0.000
Na 3.443 3.443 3.443
Zr 0.000 0.000 0.000

(10)
! KNa3Zr (PBE, relaxed); values from VASP
! magnetization: 0.85 μB/atom
! energy relative to the elements: 89 kJ/mol of atoms
! SG: Pm-3m (221)
&SYSTEM
  ibrav = 0, nat = 5, ntyp = 3
/
ATOMIC_SPECIES
K 39.10 K.upf
Na 22.99 Na.upf
Zr 91.22 Zr.upf
CELL_PARAMETERS angstrom
6.316 0.000 0.000
0.000 6.316 0.000
0.000 0.000 6.316
ATOMIC_POSITIONS angstrom
K 0.000 0.000 0.000
Na 0.000 3.158 3.158
Na 3.158 0.000 3.158
Na 3.158 3.158 0.000
Zr 3.158 3.158 3.158

(11)
! KNaZr3 (PBE, relaxed); values from VASP
! magnetization: 0.41 μB/atom
! energy relative to the elements: 190 kJ/mol of atoms
! SG: Pm-3m (221)
&SYSTEM
  ibrav = 0, nat = 5, ntyp = 3
/
ATOMIC_SPECIES
K 39.10 K.upf
Na 22.99 Na.upf
Zr 91.22 Zr.upf
CELL_PARAMETERS angstrom
5.183 0.000 0.000
0.000 5.183 0.000
0.000 0.000 5.183
ATOMIC_POSITIONS angstrom
K 0.000 0.000 0.000
Na 2.591 2.591 2.591
Zr 0.000 0.000 2.591
Zr 0.000 2.591 0.000
Zr 2.591 0.000 0.000

(12)
! KNa2Zr (PBE, relaxed); values from VASP
! magnetization: 0.75 μB/atom
! energy relative to the elements: 84 kJ/mol of atoms
! SG: Fm-3m (225)
&SYSTEM
  ibrav = 0, nat = 4, ntyp = 3
/
ATOMIC_SPECIES
K 39.10 K.upf
Na 22.99 Na.upf
Zr 91.22 Zr.upf
CELL_PARAMETERS angstrom
0.000 4.178 4.178
4.178 0.000 4.178
4.178 4.178 0.000
ATOMIC_POSITIONS angstrom
K 0.000 0.000 0.000
Na 2.089 2.089 2.089
Na 6.267 6.267 6.267
Zr 4.178 4.178 4.178